# SrScPt2 PBE relaxed
data_SrScPt2
_chemical_formula_sum 'Sr1 Sc1 Pt2'
_cell_length_a 3.445
_cell_length_b 4.810
_cell_length_c 5.269
_cell_angle_alpha 90.00
_cell_angle_beta 90.08
_cell_angle_gamma 90.00
_space_group_name_H-M_alt 'P 1 m 1'
_space_group_IT_number 6
_space_group_name_Hall 'P -2y'
loop_
_atom_site_label
_atom_site_type_symbol
_atom_site_fract_x
_atom_site_fract_y
_atom_site_fract_z
Sr1 Sr 0.000 0.000 0.000
Sc1 Sc 0.999 0.500 0.480
Pt1 Pt 0.499 0.000 0.501
Pt2 Pt 0.500 0.500 0.872
# - DFT total energy: -5.851 eV per atom
# - E above lowest polymorph: 175 meV per atom
# - N(E_F): 1.7 states/eV per cell
# - Calculated volume: 21.83 Å³ per atom
# - Energy relative to the elements: -0.827 eV/atom

# Ag4SeBr PBE relaxed
data_Ag4SeBr
_chemical_formula_sum 'Ag16 Se4 Br4'
_cell_length_a 7.541
_cell_length_b 14.172
_cell_length_c 5.993
_cell_angle_alpha 90.00
_cell_angle_beta 121.33
_cell_angle_gamma 90.00
_space_group_name_H-M_alt 'C 1 2/c 1'
_space_group_IT_number 15
_space_group_name_Hall '-C 2yc'
loop_
_atom_site_label
_atom_site_type_symbol
_atom_site_fract_x
_atom_site_fract_y
_atom_site_fract_z
Ag1 Ag 0.173 0.045 0.218
Ag2 Ag 0.178 0.248 0.224
Se1 Se 0.000 0.151 0.750
Br1 Br 0.000 0.430 0.250
# - DFT total energy: -2.747 eV per atom
# - E above lowest polymorph: 53 meV per atom
# - N(E_F): 6.5 states/eV per cell
# - Calculated volume: 22.79 Å³ per atom
# - E_form (uncorrected): 0.01 eV/atom

# HfCoTcGe PBE relaxed
data_HfCoTcGe
_chemical_formula_sum 'Hf4 Co4 Tc4 Ge4'
_cell_length_a 6.173
_cell_length_b 6.173
_cell_length_c 6.173
_cell_angle_alpha 90.00
_cell_angle_beta 90.00
_cell_angle_gamma 90.00
_space_group_name_H-M_alt 'F -4 3 m'
_space_group_IT_number 216
_space_group_name_Hall 'F -4 2 3'
loop_
_atom_site_label
_atom_site_type_symbol
_atom_site_fract_x
_atom_site_fract_y
_atom_site_fract_z
Hf1 Hf 0.000 0.000 0.000
Co1 Co 0.250 0.250 0.250
Tc1 Tc 0.250 0.250 0.750
Ge1 Ge 0.000 0.000 0.500
# - DFT total energy: -8.385 eV per atom
# - N(E_F): 1.1 states/eV per cell
# - Calculated volume: 14.70 Å³ per atom
# - Energy relative to the elements: -0.374 eV/atom

# TbNb2V PBE relaxed
data_TbNb2V
_chemical_formula_sum 'Tb3 Nb6 V3'
_cell_length_a 3.0853
_cell_length_b 3.0853
_cell_length_c 29.6183
_cell_angle_alpha 90.00
_cell_angle_beta 90.00
_cell_angle_gamma 120.00
_space_group_name_H-M_alt 'R -3 m'
_space_group_IT_number 166
_space_group_name_Hall '-R 3 2"'
loop_
_atom_site_label
_atom_site_type_symbol
_atom_site_fract_x
_atom_site_fract_y
_atom_site_fract_z
Tb1 Tb 0.0000 0.0000 0.0000
Nb1 Nb 0.0000 0.0000 0.1006
V1 V 0.0000 0.0000 0.5000
# - DFT total energy: -7.942 eV per atom
# - N(E_F): 15.5 states/eV per cell
# - Calculated volume: 20.35 Å³ per atom
# - Energy relative to the elements: 0.530 eV/atom

# Sr4Zn3 PBE relaxed
data_Sr4Zn3
_chemical_formula_sum 'Sr4 Zn3'
_cell_length_a 6.3170
_cell_length_b 6.3170
_cell_length_c 6.8517
_cell_angle_alpha 90.00
_cell_angle_beta 90.00
_cell_angle_gamma 120.00
_space_group_name_H-M_alt 'P 6/m m m'
_space_group_IT_number 191
_space_group_name_Hall '-P 6 2'
loop_
_atom_site_label
_atom_site_type_symbol
_atom_site_fract_x
_atom_site_fract_y
_atom_site_fract_z
Sr1 Sr 0.0000 0.0000 0.2335
Sr2 Sr 0.3333 0.6667 0.5000
Zn1 Zn 0.0000 0.5000 0.0000
# - DFT total energy: -1.443 eV per atom
# - E above lowest polymorph: 188 meV per atom
# - N(E_F): 6.9 states/eV per cell
# - Calculated volume: 33.83 Å³ per atom
# - Energy relative to the elements: 0.064 eV/atom

# Na2La4Sc PBE relaxed
data_Na2La4Sc
_chemical_formula_sum 'Na4 La8 Sc2'
_cell_length_a 5.788
_cell_length_b 5.788
_cell_length_c 17.692
_cell_angle_alpha 90.00
_cell_angle_beta 90.00
_cell_angle_gamma 90.00
_space_group_name_H-M_alt 'I 4/m m m'
_space_group_IT_number 139
_space_group_name_Hall '-I 4 2'
loop_
_atom_site_label
_atom_site_type_symbol
_atom_site_fract_x
_atom_site_fract_y
_atom_site_fract_z
Na1 Na 0.000 0.000 0.130
La1 La 0.000 0.000 0.332
La2 La 0.000 0.500 0.000
Sc1 Sc 0.000 0.000 0.500
# - DFT total energy: -3.545 eV per atom
# - N(E_F): 18.8 states/eV per cell
# - Calculated volume: 42.34 Å³ per atom
# - Energy relative to the elements: 0.552 eV/atom

# HoScCuAg PBE relaxed
data_HoScCuAg
_chemical_formula_sum 'Ho4 Sc4 Cu4 Ag4'
_cell_length_a 6.915
_cell_length_b 6.915
_cell_length_c 6.915
_cell_angle_alpha 90.00
_cell_angle_beta 90.00
_cell_angle_gamma 90.00
_space_group_name_H-M_alt 'F -4 3 m'
_space_group_IT_number 216
_space_group_name_Hall 'F -4 2 3'
loop_
_atom_site_label
_atom_site_type_symbol
_atom_site_fract_x
_atom_site_fract_y
_atom_site_fract_z
Ho1 Ho 0.000 0.000 0.000
Sc1 Sc 0.000 0.000 0.500
Cu1 Cu 0.250 0.250 0.250
Ag1 Ag 0.250 0.250 0.750
# - DFT total energy: -4.708 eV per atom
# - E above lowest polymorph: 28 meV per atom
# - N(E_F): 10.5 states/eV per cell
# - Calculated volume: 20.67 Å³ per atom
# - Energy relative to the elements: -0.244 eV/atom

# KYB4H16 PBE relaxed
data_KYB4H16
_chemical_formula_sum 'K4 Y4 B16 H64'
_cell_length_a 8.416
_cell_length_b 12.434
_cell_length_c 9.533
_cell_angle_alpha 90.00
_cell_angle_beta 90.00
_cell_angle_gamma 90.00
_space_group_name_H-M_alt 'C m c m'
_space_group_IT_number 63
_space_group_name_Hall '-C 2c 2'
loop_
_atom_site_label
_atom_site_type_symbol
_atom_site_fract_x
_atom_site_fract_y
_atom_site_fract_z
K1 K 0.000 0.000 0.000
Y1 Y 0.000 0.368 0.250
B1 B 0.000 0.259 0.035
B2 B 0.239 0.486 0.250
H1 H 0.000 0.208 0.573
H2 H 0.000 0.356 0.009
H3 H 0.119 0.241 0.108
H4 H 0.148 0.045 0.250
H5 H 0.155 0.497 0.646
H6 H 0.223 0.110 0.750
# - DFT total energy: -4.340 eV per atom
# - N(E_F): 0.0 states/eV per cell
# - Calculated volume: 11.34 Å³ per atom

# BaErTl PBE relaxed
data_BaErTl
_chemical_formula_sum 'Ba2 Er2 Tl2'
_cell_length_a 5.250
_cell_length_b 5.250
_cell_length_c 8.247
_cell_angle_alpha 90.00
_cell_angle_beta 90.00
_cell_angle_gamma 90.00
_space_group_name_H-M_alt 'P 4/n m m'
_space_group_IT_number 129
loop_
_space_group_symop_operation_xyz
'x,y,z'
'-x,-y,-z'
'-y+1/2,x,z'
'y+1/2,-x,-z'
'-x+1/2,-y+1/2,z'
'x+1/2,y+1/2,-z'
'y,-x+1/2,z'
'-y,x+1/2,-z'
'x+1/2,-y,-z'
'-x+1/2,y,z'
'-y,-x,-z'
'y,x,z'
'-x,y+1/2,-z'
'x,-y+1/2,z'
'y+1/2,x+1/2,-z'
'-y+1/2,-x+1/2,z'
loop_
_atom_site_label
_atom_site_type_symbol
_atom_site_fract_x
_atom_site_fract_y
_atom_site_fract_z
Ba1 Ba 0.250 0.250 0.140
Er1 Er 0.250 0.750 0.500
Tl1 Tl 0.250 0.250 0.711
# - DFT total energy: -3.233 eV per atom
# - E above lowest polymorph: 0 meV per atom
# - N(E_F): 2.6 states/eV per cell
# - Calculated volume: 37.88 Å³ per atom
# - Energy relative to the elements: -0.282 eV/atom

# Dy6Ni2Au PBE relaxed
data_Dy6Ni2Au
_chemical_formula_sum 'Dy24 Ni8 Au4'
_cell_length_a 9.304
_cell_length_b 9.544
_cell_length_c 9.872
_cell_angle_alpha 90.00
_cell_angle_beta 90.00
_cell_angle_gamma 90.00
_space_group_name_H-M_alt 'I m m m'
_space_group_IT_number 71
_space_group_name_Hall '-I 2 2'
loop_
_atom_site_label
_atom_site_type_symbol
_atom_site_fract_x
_atom_site_fract_y
_atom_site_fract_z
Dy1 Dy 0.000 0.191 0.240
Dy2 Dy 0.191 0.500 0.173
Dy3 Dy 0.217 0.320 0.500
Ni1 Ni 0.000 0.348 0.000
Ni2 Ni 0.000 0.500 0.379
Au1 Au 0.000 0.000 0.000
Au2 Au 0.000 0.000 0.500
# - DFT total energy: -5.126 eV per atom
# - N(E_F): 37.1 states/eV per cell
# - Calculated volume: 24.35 Å³ per atom
# - Energy relative to the elements: -0.409 eV/atom

# Tb3TmHg PBE relaxed
data_Tb3TmHg
_chemical_formula_sum 'Tb12 Tm4 Hg4'
_cell_length_a 11.150
_cell_length_b 7.367
_cell_length_c 7.893
_cell_angle_alpha 90.00
_cell_angle_beta 110.68
_cell_angle_gamma 90.00
_space_group_name_H-M_alt 'C 1 2/m 1'
_space_group_IT_number 12
_space_group_name_Hall '-C 2y'
loop_
_atom_site_label
_atom_site_type_symbol
_atom_site_fract_x
_atom_site_fract_y
_atom_site_fract_z
Tb1 Tb 0.059 0.000 0.237
Tb2 Tb 0.160 0.251 0.641
Tm1 Tm 0.061 0.500 0.241
Hg1 Hg 0.244 0.500 0.000
# - DFT total energy: -3.851 eV per atom
# - E above lowest polymorph: 74 meV per atom
# - N(E_F): 19.9 states/eV per cell
# - Calculated volume: 30.33 Å³ per atom
# - Energy relative to the elements: -0.118 eV/atom

# CaIBrO4 PBE relaxed
data_CaIBrO4
_chemical_formula_sum 'Ca4 I4 Br4 O16'
_cell_length_a 11.111
_cell_length_b 7.501
_cell_length_c 7.000
_cell_angle_alpha 90.00
_cell_angle_beta 104.79
_cell_angle_gamma 90.00
_space_group_name_H-M_alt 'C 1 2/m 1'
_space_group_IT_number 12
_space_group_name_Hall '-C 2y'
loop_
_atom_site_label
_atom_site_type_symbol
_atom_site_fract_x
_atom_site_fract_y
_atom_site_fract_z
Ca1 Ca 0.219 0.000 0.122
I1 I 0.135 0.500 0.262
Br1 Br 0.010 0.000 0.752
O1 O 0.031 0.500 0.791
O2 O 0.196 0.319 0.141
O3 O 0.206 0.500 0.523
# - DFT total energy: -4.511 eV per atom
# - N(E_F): 7.1 states/eV per cell
# - Calculated volume: 20.15 Å³ per atom
# - E_form (uncorrected): -0.93 eV/atom

# CaNiCl2 PBE relaxed
data_CaNiCl2
_chemical_formula_sum 'Ca1 Ni1 Cl2'
_cell_length_a 4.552
_cell_length_b 4.552
_cell_length_c 3.573
_cell_angle_alpha 90.00
_cell_angle_beta 90.00
_cell_angle_gamma 90.00
_space_group_name_H-M_alt 'P 4/m m m'
_space_group_IT_number 123
_space_group_name_Hall '-P 4 2'
loop_
_atom_site_label
_atom_site_type_symbol
_atom_site_fract_x
_atom_site_fract_y
_atom_site_fract_z
Ca1 Ca 0.000 0.000 0.000
Ni1 Ni 0.500 0.500 0.000
Cl1 Cl 0.000 0.500 0.500
# - DFT total energy: -3.641 eV per atom
# - E above lowest polymorph: 410 meV per atom
# - N(E_F): 4.0 states/eV per cell
# - Calculated volume: 18.51 Å³ per atom
# - E_form (uncorrected): -0.77 eV/atom

# LiAc2Al5 PBE relaxed
data_LiAc2Al5
_chemical_formula_sum 'Li4 Ac8 Al20'
_cell_length_a 4.602
_cell_length_b 17.613
_cell_length_c 9.550
_cell_angle_alpha 90.00
_cell_angle_beta 90.00
_cell_angle_gamma 90.00
_space_group_name_H-M_alt 'C m c m'
_space_group_IT_number 63
_space_group_name_Hall '-C 2c 2'
loop_
_atom_site_label
_atom_site_type_symbol
_atom_site_fract_x
_atom_site_fract_y
_atom_site_fract_z
Li1 Li 0.000 0.056 0.250
Ac1 Ac 0.000 0.299 0.750
Ac2 Ac 0.000 0.500 0.000
Al1 Al 0.000 0.098 0.750
Al2 Al 0.000 0.148 0.016
Al3 Al 0.000 0.313 0.110
# - DFT total energy: -3.884 eV per atom
# - N(E_F): 14.2 states/eV per cell
# - Calculated volume: 24.19 Å³ per atom
# - Energy relative to the elements: -0.279 eV/atom

# HoEr6Mg PBE relaxed
data_HoEr6Mg
_chemical_formula_sum 'Ho3 Er18 Mg3'
_cell_length_a 9.2428
_cell_length_b 9.2428
_cell_length_c 9.8539
_cell_angle_alpha 90.00
_cell_angle_beta 90.00
_cell_angle_gamma 120.00
_space_group_name_H-M_alt 'R -3'
_space_group_IT_number 148
_space_group_name_Hall '-R 3'
loop_
_atom_site_label
_atom_site_type_symbol
_atom_site_fract_x
_atom_site_fract_y
_atom_site_fract_z
Ho1 Ho 0.0000 0.0000 0.0000
Er1 Er 0.0201 0.2682 0.7235
Mg1 Mg 0.0000 0.0000 0.5000
# - DFT total energy: -4.052 eV per atom
# - E above lowest polymorph: 110 meV per atom
# - N(E_F): 40.6 states/eV per cell
# - Calculated volume: 30.38 Å³ per atom
# - Energy relative to the elements: 0.141 eV/atom

# Ge3WS PBE relaxed
data_Ge3WS
_chemical_formula_sum 'Ge3 W1 S1'
_cell_length_a 4.620
_cell_length_b 4.620
_cell_length_c 4.620
_cell_angle_alpha 90.00
_cell_angle_beta 90.00
_cell_angle_gamma 90.00
_space_group_name_H-M_alt 'P m -3 m'
_space_group_IT_number 221
_space_group_name_Hall '-P 4 2 3'
loop_
_atom_site_label
_atom_site_type_symbol
_atom_site_fract_x
_atom_site_fract_y
_atom_site_fract_z
Ge1 Ge 0.000 0.000 0.500
W1 W 0.500 0.500 0.500
S1 S 0.000 0.000 0.000
# - DFT total energy: -4.839 eV per atom
# - E above lowest polymorph: 695 meV per atom
# - N(E_F): 4.1 states/eV per cell
# - Calculated volume: 19.72 Å³ per atom
# - E_form (uncorrected): 1.35 eV/atom

# La2TeS5 PBE relaxed
data_La2TeS5
_chemical_formula_sum 'La8 Te4 S20'
_cell_length_a 5.438
_cell_length_b 14.147
_cell_length_c 13.368
_cell_angle_alpha 90.00
_cell_angle_beta 90.00
_cell_angle_gamma 90.00
_space_group_name_H-M_alt 'C m c m'
_space_group_IT_number 63
_space_group_name_Hall '-C 2c 2'
loop_
_atom_site_label
_atom_site_type_symbol
_atom_site_fract_x
_atom_site_fract_y
_atom_site_fract_z
La1 La 0.000 0.154 0.070
Te1 Te 0.000 0.164 0.750
S1 S 0.000 0.046 0.616
S2 S 0.000 0.279 0.250
S3 S 0.000 0.296 0.583
# - DFT total energy: -5.465 eV per atom
# - Calculated volume: 32.13 Å³ per atom
# - E_form (uncorrected): -1.26 eV/atom

# ScAl2O PBE relaxed
data_ScAl2O
_chemical_formula_sum 'Sc4 Al8 O4'
_cell_length_a 5.933
_cell_length_b 5.933
_cell_length_c 8.064
_cell_angle_alpha 90.00
_cell_angle_beta 90.00
_cell_angle_gamma 90.00
_space_group_name_H-M_alt 'I -4 2 d'
_space_group_IT_number 122
_space_group_name_Hall 'I -4 2bw'
loop_
_atom_site_label
_atom_site_type_symbol
_atom_site_fract_x
_atom_site_fract_y
_atom_site_fract_z
Sc1 Sc 0.000 0.000 0.000
Al1 Al 0.106 0.750 0.625
O1 O 0.000 0.000 0.500
# - DFT total energy: -5.483 eV per atom
# - N(E_F): 9.2 states/eV per cell
# - Calculated volume: 17.74 Å³ per atom
# - E_form (uncorrected): -0.79 eV/atom

# In2SiPt PBE relaxed
data_In2SiPt
_chemical_formula_sum 'In8 Si4 Pt4'
_cell_length_a 5.954
_cell_length_b 5.954
_cell_length_c 12.788
_cell_angle_alpha 90.00
_cell_angle_beta 90.00
_cell_angle_gamma 90.00
_space_group_name_H-M_alt 'I -4 2 d'
_space_group_IT_number 122
_space_group_name_Hall 'I -4 2bw'
loop_
_atom_site_label
_atom_site_type_symbol
_atom_site_fract_x
_atom_site_fract_y
_atom_site_fract_z
In1 In 0.242 0.250 0.125
Si1 Si 0.000 0.000 0.000
Pt1 Pt 0.000 0.000 0.500
# - DFT total energy: -3.956 eV per atom
# - N(E_F): 0.0 states/eV per cell
# - Calculated volume: 28.34 Å³ per atom
# - E_form (uncorrected): 0.28 eV/atom

# AlZnAu2 PBE relaxed
data_AlZnAu2
_chemical_formula_sum 'Al4 Zn4 Au8'
_cell_length_a 9.032
_cell_length_b 6.494
_cell_length_c 4.482
_cell_angle_alpha 90.00
_cell_angle_beta 94.23
_cell_angle_gamma 90.00
_space_group_name_H-M_alt 'C 1 2/m 1'
_space_group_IT_number 12
_space_group_name_Hall '-C 2y'
loop_
_atom_site_label
_atom_site_type_symbol
_atom_site_fract_x
_atom_site_fract_y
_atom_site_fract_z
Al1 Al 0.127 0.000 0.236
Zn1 Zn 0.107 0.500 0.236
Au1 Au 0.133 0.236 0.735
# - DFT total energy: -3.153 eV per atom
# - N(E_F): 2.4 states/eV per cell
# - Calculated volume: 16.39 Å³ per atom
# - Energy relative to the elements: -0.261 eV/atom